Record 1
# Ce2Mg3Cu2 | the Alexandria database | PBE | optimized geometry
# - E_form (meV per atom) = -54.3
data_Ce2Mg3Cu2
_chemical_formula_sum 'Ce4 Mg6 Cu4'
_cell_length_a 11.9289
_cell_length_b 4.2521
_cell_length_c 7.1268
_cell_angle_alpha 90.00
_cell_angle_beta 124.55
_cell_angle_gamma 90.00
_space_group_name_H-M_alt 'C 1 2/m 1'
_space_group_IT_number 12
_space_group_name_Hall '-C 2y'
loop_
_atom_site_label
_atom_site_type_symbol
_atom_site_fract_x
_atom_site_fract_y
_atom_site_fract_z
Ce1 Ce 0.1655 0.0000 0.0052
Mg1 Mg 0.0000 0.5000 0.5000
Mg2 Mg 0.1655 0.0000 0.5041
Cu1 Cu 0.0652 0.5000 0.2039

Record 2
# CeMgCu | the Alexandria database | PBE | optimized geometry
# - E_form (meV per atom) = -48.7
data_CeMgCu
_chemical_formula_sum 'Ce2 Mg2 Cu2'
_cell_length_a 3.1044
_cell_length_b 3.1044
_cell_length_c 12.7732
_cell_angle_alpha 90.00
_cell_angle_beta 90.00
_cell_angle_gamma 90.00
_space_group_name_H-M_alt 'I 4 m m'
_space_group_IT_number 107
_space_group_name_Hall 'I 4 -2'
loop_
_atom_site_label
_atom_site_type_symbol
_atom_site_fract_x
_atom_site_fract_y
_atom_site_fract_z
Ce1 Ce 0.0000 0.0000 0.0000
Mg1 Mg 0.0000 0.0000 0.2860
Cu1 Cu 0.0000 0.0000 0.6600